First-principles (PBE+U) data for an optimized crystal structure of DyTlCoF6, as listed in Alexandria.

Its electronic total energy is -197.73 eV per cell.

Lattice parameters (Å, degrees): 7.3059 7.6157 10.3805 90.00 90.00 90.00
Last column: nearest neighbours and their distance in Å.
Space group Imma (No. 74)
Unique sites:
1 Dy 0.0000 0.0000 0.0000 (multiplicity 4)  8 F 2.22-2.48
2 Tl 0.0000 0.2500 0.4067 (multiplicity 4)  9 F 2.89-3.16
3 Co 0.2500 0.2500 0.7500 (multiplicity 4)  6 F 2.04-2.09
4 F 0.0000 0.2500 0.1097 (multiplicity 4)  2 Dy 2.22
5 F 0.0000 0.2500 0.8472 (multiplicity 4)  2 Co 2.09
6 F 0.2370 0.0527 0.6169 (multiplicity 16)  1 Co 2.04